YTa2Rh2 PBE relaxed; symmetry = P4/mbm; calculated formation energy = -1.37 eV per formula unit; energy above the lowest structure with this stoichiometry = 0.150 eV/atom; total magnetization = 0.000 μB per atom; raw total energy = -46.2 eV/f.u.
1.0
-4.8707 6.2296 -1.3021
-5.8984 -5.0345 -2.0224
-0.8540 -0.0968 2.7315
Ta Rh Y
4 4 2
Cartesian
-3.9004 3.2774 -1.1033
-6.8687 -2.0823 -2.2212
-7.9597 2.1800 -2.4113
-2.8094 -0.9848 -0.9132
-6.5469 3.4753 -0.4228
-5.0763 -2.3770 -0.1703
-3.0246 1.2882 0.6010
-8.5985 -0.1899 -1.1940
0.0000 0.0000 0.0000
-5.3846 0.5976 -1.6623